The following is a DFT calculation (PBE-GGA) of a relaxed La3Si4Os2 crystal.

Values from the calculation:
**Space-group type**: No. 12
**E_form (uncorrected)**: -0.671 eV per atom

Lattice parameters (Å, degrees): 4.2433 6.1257 8.2949 107.15 90.00 110.26
Last column: nearest neighbours and their distance in Å.
Fractional coordinates of all 9 atoms:
La: 0.0000 0.0000 0.0000  8 Si 3.18-3.47
Si: 0.2783 0.5565 0.9197  1 Os 2.41, 2 Si 2.69
Si: 0.1166 0.2332 0.4017  3 Os 2.38-2.44
Si: 0.7217 0.4435 0.0803  1 Os 2.41, 2 Si 2.69
La: 0.6054 0.2108 0.6940  7 Si 3.06-3.25, 4 Os 3.24-3.35, 1 La 3.37
Os: 0.6957 0.3913 0.3571  4 Si 2.38-2.44
Si: 0.8834 0.7668 0.5983  3 Os 2.38-2.44
La: 0.3946 0.7892 0.3060  7 Si 3.06-3.25, 4 Os 3.24-3.35, 1 La 3.37
Os: 0.3043 0.6087 0.6429  4 Si 2.38-2.44

=====

The following is a DFT calculation (PBE-GGA) of a relaxed Na5Sr4Cd2 crystal.

Values from the calculation:
**Space-group type**: No. 10
**Calculated formation energy**: -0.082 eV per atom

Lattice parameters (Å, degrees): 4.4292 9.0612 11.3150 94.05 90.00 90.00
Last column: nearest neighbours and their distance in Å.
Fractional coordinates of all 11 atoms:
Na: 0.0000 0.4467 0.6784  1 Cd 3.46, 2 Na 3.64-3.74
Na: 0.0000 0.5533 0.3216  1 Cd 3.46, 2 Na 3.64-3.74
Sr: 0.5000 0.2161 0.4456  4 Cd 3.44-3.45
Na: 0.0000 0.1835 0.1529  1 Cd 3.40, 2 Na 3.45-3.74
Na: 0.0000 0.5000 0.0000  4 Na 3.45-3.64
Sr: 0.5000 0.7839 0.5544  4 Cd 3.44-3.45
Sr: 0.5000 0.1666 0.8520  2 Cd 3.38
Cd: 0.0000 0.0649 0.6358  1 Cd 3.21, 6 Sr 3.38-3.45, 2 Na 3.40-3.46
Na: 0.0000 0.8165 0.8471  1 Cd 3.40, 2 Na 3.45-3.74
Sr: 0.5000 0.8334 0.1480  2 Cd 3.38
Cd: 0.0000 0.9351 0.3642  1 Cd 3.21, 6 Sr 3.38-3.45, 2 Na 3.40-3.46

=====

The following is a DFT calculation (PBE-GGA) of a relaxed Er2ScAg crystal.

Values from the calculation:
**Space-group type**: No. 166
**Calculated formation energy**: 0.225 eV per atom

Lattice parameters (Å, degrees): 3.2745 3.2745 11.5180 81.83 81.83 60.00
Last column: nearest neighbours and their distance in Å.
Fractional coordinates of all 4 atoms:
Er: 0.0935 0.0935 0.7194  3 Ag 3.13, 1 Sc 3.19, 6 Er 3.27
Sc: 0.0000 0.0000 0.0000  2 Er 3.19, 6 Sc 3.27
Er: 0.9065 0.9065 0.2806  3 Ag 3.13, 1 Sc 3.19, 6 Er 3.27
Ag: 0.5000 0.5000 0.5000  6 Er 3.13, 6 Ag 3.27